No. 1
Compound: MgCrP
Source: the Alexandria database
Functional: PBE-GGA
Structure: optimized geometry

```
3
Lattice="-0.985 -0.255 -2.813 -1.876 -0.441 2.287 -1.406 5.800 -0.034" Properties=species:S:1:pos:R:3 pbc="T T T"
Cr -1.345 5.548 -0.032
Mg -2.051 1.567 0.576
P -2.277 3.788 -1.137
```

Values from the calculation:
As for the density of states at the Fermi level: 2.4 states/eV/cell. For the theoretical density, the calculation gives 3.85 g/cm³.

No. 2
Compound: MgCrP2
Source: the Alexandria database
Functional: PBE-GGA
Structure: optimized geometry

```
4
Lattice="5.263 -0.005 0.000 2.777 4.470 0.000 -4.020 -2.233 2.560" Properties=species:S:1:pos:R:3 pbc="T T T"
Cr 4.020 2.233 0.000
Mg 2.631 -0.003 1.280
P 0.000 0.000 0.000
P 1.389 2.235 1.280
```

Values from the calculation:
The energy above the most stable polymorph in this dataset is 0.273 eV/atom. As for the density of states at the Fermi level: 2.0 states/eV/cell. For the theoretical density, the calculation gives 3.81 g/cm³.

No. 3
Compound: MgCrP
Source: the Alexandria database
Functional: PBE-GGA
Structure: optimized geometry

```
3
Lattice="5.191 -0.007 0.008 4.295 2.915 0.012 0.896 0.270 2.909" Properties=species:S:1:pos:R:3 pbc="T T T"
Cr 9.171 2.811 0.126
Mg 6.613 2.026 0.986
P 4.084 1.249 1.837
```

Values from the calculation:
As for the density of states at the Fermi level: 1.6 states/eV/cell. For the theoretical density, the calculation gives 4.04 g/cm³.

No. 4
Compound: MgCrP2
Source: the Alexandria database
Functional: PBE-GGA
Structure: optimized geometry

```
4
Lattice="2.958 -0.001 0.000 0.001 2.958 0.000 0.000 0.000 6.391" Properties=species:S:1:pos:R:3 pbc="T T T"
Cr 1.480 1.478 1.598
Mg 1.480 1.478 4.793
P 0.000 0.000 0.303
P 0.000 0.000 2.893
```

Values from the calculation:
The energy above the most stable polymorph in this dataset is 0.044 eV/atom. As for the density of states at the Fermi level: 1.6 states/eV/cell. For the theoretical density, the calculation gives 4.10 g/cm³.

No. 5
Compound: MgCr2P
Source: the Alexandria database
Functional: PBE-GGA
Structure: optimized geometry

```
4
Lattice="3.898 0.000 0.000 0.000 3.082 0.065 0.000 1.435 5.104" Properties=species:S:1:pos:R:3 pbc="T T T"
Cr 0.000 2.501 0.235
Cr 1.949 0.946 0.768
Mg 0.000 2.447 2.853
P 1.949 3.963 3.963
```

Values from the calculation:
The energy above the most stable polymorph in this dataset is 0.064 eV/atom. As for the density of states at the Fermi level: 2.1 states/eV/cell. For the theoretical density, the calculation gives 4.34 g/cm³.

No. 6
Compound: MgCrP2
Source: the Alexandria database
Functional: PBE-GGA
Structure: optimized geometry

```
4
Lattice="6.573 -0.005 0.002 5.066 4.188 -0.002 -5.732 -2.334 2.213" Properties=species:S:1:pos:R:3 pbc="T T T"
Cr 6.312 2.269 0.000
Mg 3.185 2.191 1.106
P 11.300 4.061 0.000
P 2.568 -0.397 1.107
```

Values from the calculation:
The energy above the most stable polymorph in this dataset is 0.015 eV/atom. As for the density of states at the Fermi level: 2.4 states/eV/cell. For the theoretical density, the calculation gives 3.77 g/cm³.

No. 7
Compound: MgCr2P
Source: the Alexandria database
Functional: PBE-GGA
Structure: optimized geometry

```
4
Lattice="-0.581 2.688 3.088 -2.547 0.446 -0.867 -1.849 -3.454 2.659" Properties=species:S:1:pos:R:3 pbc="T T T"
Cr -4.085 -3.035 1.874
Cr -2.510 -1.477 0.814
Mg -1.389 0.592 1.992
P -3.588 -0.912 2.888
```

Values from the calculation:
The energy above the most stable polymorph in this dataset is 0.235 eV/atom. As for the density of states at the Fermi level: 3.7 states/eV/cell. For the theoretical density, the calculation gives 4.96 g/cm³.

No. 8
Compound: MgCr2P
Source: the Alexandria database
Functional: PBE-GGA
Structure: optimized geometry

```
4
Lattice="-4.160 1.597 1.562 -0.185 -0.082 4.718 3.157 1.726 -3.058" Properties=species:S:1:pos:R:3 pbc="T T T"
Cr 0.000 0.000 0.000
Cr 0.400 1.201 2.400
Mg -2.173 0.758 3.140
P -1.588 2.041 0.822
```

Values from the calculation:
The energy above the most stable polymorph in this dataset is 0.099 eV/atom. As for the density of states at the Fermi level: 2.2 states/eV/cell. For the theoretical density, the calculation gives 4.75 g/cm³.

No. 9
Compound: MgCr2P
Source: the Alexandria database
Functional: PBE-GGA
Structure: optimized geometry

```
4
Lattice="-3.578 -1.283 2.992 1.593 -2.540 3.796 0.413 4.270 -2.235" Properties=species:S:1:pos:R:3 pbc="T T T"
Cr -0.074 -0.142 0.252
Cr -0.919 -1.769 3.141
Mg -2.079 0.538 2.075
P 0.507 -0.091 2.477
```

Values from the calculation:
The energy above the most stable polymorph in this dataset is 0.154 eV/atom. As for the density of states at the Fermi level: 4.2 states/eV/cell. For the theoretical density, the calculation gives 4.85 g/cm³.

No. 10
Compound: MgCrP2
Source: the Alexandria database
Functional: PBE-GGA
Structure: optimized geometry

```
4
Lattice="-0.643 0.805 -4.330 -3.709 -1.430 -2.003 -3.104 2.921 -1.284" Properties=species:S:1:pos:R:3 pbc="T T T"
Cr -3.728 1.148 -3.808
Mg -5.592 1.722 -5.713
P 0.000 0.000 0.000
P -1.864 0.574 -1.904
```

Values from the calculation:
The energy above the most stable polymorph in this dataset is 0.704 eV/atom. As for the density of states at the Fermi level: 3.5 states/eV/cell. For the theoretical density, the calculation gives 3.68 g/cm³.

No. 11
Compound: MgCr2P
Source: the Alexandria database
Functional: PBE-GGA
Structure: optimized geometry

```
4
Lattice="-3.726 7.209 1.476 -4.564 5.774 3.724 -2.080 7.056 3.730" Properties=species:S:1:pos:R:3 pbc="T T T"
Cr -0.125 0.241 0.107
Cr -5.060 9.778 4.358
Mg -2.593 5.010 2.233
P -7.778 15.029 6.698
```

Values from the calculation:
The energy above the most stable polymorph in this dataset is 0.252 eV/atom. As for the density of states at the Fermi level: 4.7 states/eV/cell. For the theoretical density, the calculation gives 4.83 g/cm³.

No. 12
Compound: MgCrP2
Source: the Alexandria database
Functional: PBE-GGA
Structure: optimized geometry

```
4
Lattice="0.000 3.112 3.112 3.112 0.000 3.112 3.112 3.112 0.000" Properties=species:S:1:pos:R:3 pbc="T T T"
Cr 3.112 3.112 3.112
Mg 0.000 0.000 0.000
P 1.556 1.556 1.556
P 4.669 4.669 4.669
```

Values from the calculation:
The energy above the most stable polymorph in this dataset is 0.288 eV/atom. As for the density of states at the Fermi level: 2.1 states/eV/cell. For the theoretical density, the calculation gives 3.81 g/cm³.

| no. | energy of formation (eV per atom) |
| --- | --- |
| 1 | 0.037 |
| 2 | -0.014 |
| 3 | -0.194 |
| 4 | -0.243 |
| 5 | 0.072 |
| 6 | -0.272 |
| 7 | 0.243 |
| 8 | 0.107 |
| 9 | 0.162 |
| 10 | 0.416 |
| 11 | 0.260 |
| 12 | 0.000 |